1 | Computed, not measured: a geometry-optimized BeSn2Ge structure at the PBE-GGA level of DFT.

a b c (Å): 4.9282 4.9282 4.9282
angles (deg): 60.00 60.00 60.00
Closest atoms and distances in Å follow each position.
Sites, in units of the cell vectors:
Be1 0.0000 0.0000 0.0000  8 Sn 3.02
Ge1 0.5000 0.5000 0.5000  8 Sn 3.02
Sn1 0.2500 0.2500 0.2500  4 Ge 3.02, 4 Be 3.02
Sn2 0.7500 0.7500 0.7500  4 Ge 3.02, 4 Be 3.02

Results
For the density of states at the Fermi level, the calculation gives 0.49 states/eV per atom. The value obtained for the volume is 85 Å³/cell. For the density, the calculation gives 6.26 g/cm3. As for the space group: Fm-3m.

=====

2 | Computed, not measured: a geometry-optimized BeSn2Ge structure at the PBE-GGA level of DFT.

a b c (Å): 5.4090 5.4090 7.9260
angles (deg): 70.05 70.05 90.00
Closest atoms and distances in Å follow each position.
Sites, in units of the cell vectors:
Be1 0.5000 0.5000 0.0000  4 Sn 2.45
Be2 0.2500 0.7500 0.5000  4 Sn 2.45
Ge1 0.0000 0.0000 0.0000  4 Sn 2.73
Ge2 0.7500 0.2500 0.5000  4 Sn 2.73
Sn1 0.5753 0.1250 0.2500  2 Be 2.45, 2 Ge 2.73
Sn2 0.1747 0.6250 0.2500  2 Be 2.45, 2 Ge 2.73
Sn3 0.3750 0.4247 0.7500  2 Be 2.45, 2 Ge 2.73
Sn4 0.8750 0.8253 0.7500  2 Be 2.45, 2 Ge 2.73

Results
For the density of states at the Fermi level, the calculation gives 0.40 states/eV per atom. The value obtained for the volume is 203 Å³/cell. For the density, the calculation gives 5.22 g/cm3. As for the space group: I-42d.

=====

Most stable structure: 2

=====

1 | Computed, not measured: a geometry-optimized Sr2BeGe structure at the PBE-GGA level of DFT.

a b c (Å): 5.4650 5.4650 10.3576
angles (deg): 74.70 74.70 90.00
Closest atoms and distances in Å follow each position.
Sites, in units of the cell vectors:
Sr1 0.6240 0.1250 0.2500  2 Be 3.08, 2 Ge 3.09
Sr2 0.1260 0.6250 0.2500  2 Be 3.08, 2 Ge 3.09
Sr3 0.3750 0.3760 0.7500  2 Be 3.08, 2 Ge 3.09
Sr4 0.8750 0.8740 0.7500  2 Be 3.08, 2 Ge 3.09
Ge1 0.0000 0.0000 0.0000  4 Sr 3.09
Ge2 0.7500 0.2500 0.5000  4 Sr 3.09
Be1 0.5000 0.5000 0.0000  4 Sr 3.08
Be2 0.2500 0.7500 0.5000  4 Sr 3.08

Results
For the density of states at the Fermi level, the calculation gives 1.75 states/eV per atom. The value obtained for the volume is 287 Å³/cell. For the density, the calculation gives 2.97 g/cm3. As for the space group: I-42d.

=====

2 | Computed, not measured: a geometry-optimized Sr2BeGe structure at the PBE-GGA level of DFT.

a b c (Å): 5.3780 5.3780 5.3780
angles (deg): 60.00 60.00 60.00
Closest atoms and distances in Å follow each position.
Sites, in units of the cell vectors:
Sr1 0.2500 0.2500 0.2500  4 Ge 3.29, 4 Be 3.29
Sr2 0.7500 0.7500 0.7500  4 Be 3.29, 4 Ge 3.29
Ge1 0.5000 0.5000 0.5000  8 Sr 3.29
Be1 0.0000 0.0000 0.0000  8 Sr 3.29

Results
For the density of states at the Fermi level, the calculation gives 0.07 states/eV per atom. The value obtained for the volume is 110 Å³/cell. For the density, the calculation gives 3.88 g/cm3. As for the space group: Fm-3m.

=====

Most stable structure: 2

=====

1 | Computed, not measured: a geometry-optimized SrBeGe3 structure at the PBE-GGA level of DFT.

a b c (Å): 4.7141 4.7141 4.7141
angles (deg): 90.00 90.00 90.00
Closest atoms and distances in Å follow each position.
Sites, in units of the cell vectors:
Sr1 0.5000 0.5000 0.5000  12 Ge 3.33
Ge1 0.0000 0.5000 0.0000  2 Be 2.36
Ge2 0.0000 0.0000 0.5000  2 Be 2.36
Ge3 0.5000 0.0000 0.0000  2 Be 2.36
Be1 0.0000 0.0000 0.0000  6 Ge 2.36

Results
For the density of states at the Fermi level, the calculation gives 0.52 states/eV per atom. The value obtained for the volume is 105 Å³/cell. For the density, the calculation gives 4.99 g/cm3. As for the space group: Pm-3m.

=====

2 | Computed, not measured: a geometry-optimized SrBeGe3 structure at the PBE-GGA level of DFT.

a b c (Å): 5.6714 5.6714 5.6714
angles (deg): 90.00 90.00 90.00
Closest atoms and distances in Å follow each position.
Sites, in units of the cell vectors:
Sr1 0.0000 0.0000 0.0000  6 Ge 2.84
Ge1 0.0000 0.5000 0.0000  2 Sr 2.84
Ge2 0.0000 0.0000 0.5000  2 Sr 2.84
Ge3 0.5000 0.0000 0.0000  2 Sr 2.84
Be1 0.5000 0.5000 0.5000  12 Ge 4.01

Results
For the density of states at the Fermi level, the calculation gives 1.55 states/eV per atom. The value obtained for the volume is 182 Å³/cell. For the density, the calculation gives 2.86 g/cm3. As for the space group: Pm-3m.

=====

Most stable structure: 1

=====

1 | Computed, not measured: a geometry-optimized Ta2BeGe structure at the PBE-GGA level of DFT.

a b c (Å): 3.5234 5.0655 7.0292
angles (deg): 110.59 90.00 90.00
Closest atoms and distances in Å follow each position.
Sites, in units of the cell vectors:
Ta1 0.7500 0.1850 0.4288  3 Be 2.51-2.56, 3 Ge 2.65-2.73
Ta2 0.2500 0.8150 0.5712  3 Be 2.51-2.56, 3 Ge 2.65-2.73
Ta3 0.2500 0.8008 0.0835  3 Be 2.55-2.82, 4 Ge 2.65-2.71
Ta4 0.7500 0.1992 0.9165  3 Be 2.55-2.82, 4 Ge 2.65-2.71
Be1 0.7500 0.6555 0.2892  2 Ge 2.25, 1 Ta 2.51
Be2 0.2500 0.3445 0.7108  2 Ge 2.25, 1 Ta 2.51
Ge1 0.2500 0.3613 0.2175  2 Be 2.25
Ge2 0.7500 0.6387 0.7825  2 Be 2.25

Results
For the density of states at the Fermi level, the calculation gives 0.26 states/eV per atom. The value obtained for the volume is 117 Å³/cell. For the density, the calculation gives 12.54 g/cm3. As for the space group: P2_1/m.

=====

2 | Computed, not measured: a geometry-optimized Ta2BeGe structure at the PBE-GGA level of DFT.

a b c (Å): 4.4121 4.4121 4.4121
angles (deg): 60.00 60.00 60.00
Closest atoms and distances in Å follow each position.
Sites, in units of the cell vectors:
Be1 0.0000 0.0000 0.0000  8 Ta 2.70
Ge1 0.5000 0.5000 0.5000  8 Ta 2.70
Ta1 0.2500 0.2500 0.2500  4 Ge 2.70, 4 Be 2.70
Ta2 0.7500 0.7500 0.7500  4 Ge 2.70, 4 Be 2.70

Results
For the density of states at the Fermi level, the calculation gives 1.01 states/eV per atom. The value obtained for the volume is 61 Å³/cell. For the density, the calculation gives 12.13 g/cm3. As for the space group: Fm-3m.

=====

3 | Computed, not measured: a geometry-optimized Ta2BeGe structure at the PBE-GGA level of DFT.

a b c (Å): 3.4168 3.4168 6.5501
angles (deg): 74.88 74.88 60.00
Closest atoms and distances in Å follow each position.
Sites, in units of the cell vectors:
Be1 0.0000 0.0000 0.0000  6 Ta 2.40
Ge1 0.5000 0.5000 0.5000  6 Ta 2.65
Ta1 0.2608 0.2608 0.2177  3 Be 2.40, 3 Ge 2.65
Ta2 0.7392 0.7392 0.7823  3 Be 2.40, 3 Ge 2.65

Results
For the density of states at the Fermi level, the calculation gives 0.29 states/eV per atom. The value obtained for the volume is 63 Å³/cell. For the density, the calculation gives 11.66 g/cm3. As for the space group: R-3m.

=====

Most stable structure: 1

=====

1 | Computed, not measured: a geometry-optimized Tb3Be2Ge4 structure at the PBE-GGA level of DFT.

a b c (Å): 4.0181 5.7798 8.2656
angles (deg): 107.83 90.00 110.34
Closest atoms and distances in Å follow each position.
Sites, in units of the cell vectors:
Tb1 0.6202 0.2404 0.6877  4 Be 2.97-3.26, 8 Ge 2.98-3.28
Tb2 0.0000 0.0000 0.0000  6 Ge 2.97-3.08
Tb3 0.3798 0.7595 0.3123  4 Be 2.97-3.26, 8 Ge 2.98-3.28
Be1 0.6887 0.3773 0.3481  4 Ge 2.30-2.55
Be2 0.3113 0.6227 0.6519  4 Ge 2.30-2.55
Ge1 0.7132 0.4265 0.0722  1 Be 2.38, 2 Ge 2.59
Ge2 0.2868 0.5735 0.9278  1 Be 2.38, 2 Ge 2.59
Ge3 0.8968 0.7936 0.6055  3 Be 2.30-2.55
Ge4 0.1032 0.2064 0.3945  3 Be 2.30-2.55

Results
For the density of states at the Fermi level, the calculation gives 0.40 states/eV per atom. The value obtained for the volume is 170 Å³/cell. For the density, the calculation gives 7.67 g/cm3. As for the space group: C2/m.

=====

2 | Computed, not measured: a geometry-optimized Tb3Be2Ge4 structure at the PBE-GGA level of DFT.

a b c (Å): 3.9862 5.7364 8.0263
angles (deg): 99.08 90.00 110.33
Closest atoms and distances in Å follow each position.
Sites, in units of the cell vectors:
Tb1 0.6634 0.3268 0.6664  4 Be 3.02-3.14, 8 Ge 3.02-3.18
Tb2 0.0000 0.0000 0.0000  8 Ge 3.01-3.24, 4 Be 3.10
Tb3 0.3366 0.6732 0.3336  4 Be 3.02-3.14, 8 Ge 3.02-3.18
Be1 0.6081 0.2163 0.2827  3 Ge 2.20-2.22
Be2 0.3919 0.7837 0.7173  3 Ge 2.20-2.22
Ge1 0.7117 0.4234 0.0683  1 Be 2.20
Ge2 0.2883 0.5766 0.9317  1 Be 2.20
Ge3 0.9358 0.8715 0.6188  2 Be 2.22
Ge4 0.0642 0.1285 0.3812  2 Be 2.22

Results
For the density of states at the Fermi level, the calculation gives 0.33 states/eV per atom. The value obtained for the volume is 170 Å³/cell. For the density, the calculation gives 7.69 g/cm3. As for the space group: C2/m.

=====

Most stable structure: 2

=====

1 | Computed, not measured: a geometry-optimized Be3TcGe structure at the PBE-GGA level of DFT.

a b c (Å): 4.2413 4.2413 4.2413
angles (deg): 90.00 90.00 90.00
Closest atoms and distances in Å follow each position.
Sites, in units of the cell vectors:
Be1 0.0000 0.5000 0.0000  2 Tc 2.12
Be2 0.0000 0.0000 0.5000  2 Tc 2.12
Be3 0.5000 0.0000 0.0000  2 Tc 2.12
Ge1 0.5000 0.5000 0.5000  12 Be 3.00
Tc1 0.0000 0.0000 0.0000  6 Be 2.12

Results
For the density of states at the Fermi level, the calculation gives 0.33 states/eV per atom. The value obtained for the volume is 76 Å³/cell. For the density, the calculation gives 4.30 g/cm3. As for the space group: Pm-3m.

=====

2 | Computed, not measured: a geometry-optimized Be3TcGe structure at the PBE-GGA level of DFT.

a b c (Å): 4.0969 4.0969 4.0969
angles (deg): 90.00 90.00 90.00
Closest atoms and distances in Å follow each position.
Sites, in units of the cell vectors:
Be1 0.0000 0.5000 0.0000  2 Ge 2.05
Be2 0.0000 0.0000 0.5000  2 Ge 2.05
Be3 0.5000 0.0000 0.0000  2 Ge 2.05
Ge1 0.0000 0.0000 0.0000  6 Be 2.05
Tc1 0.5000 0.5000 0.5000  12 Be 2.90

Results
For the density of states at the Fermi level, the calculation gives 0.57 states/eV per atom. The value obtained for the volume is 69 Å³/cell. For the density, the calculation gives 4.77 g/cm3. As for the space group: Pm-3m.

=====

Most stable structure: 1